Entry 1:
The following is a PBE-GGA calculation of crystalline CsNaThO3 at its relaxed geometry, from the Alexandria database.

Geometry as POSCAR:
```
CsNaThO3
1.0
3.7875 0.0000 0.0000
0.0000 9.9325 0.7493
0.0000 -2.9263 6.8257
Th O Cs Na
2 6 2 2
Direct
0.7500 0.3315 0.8739 Th
0.2500 0.6685 0.1261 Th
0.2500 0.4755 0.8286 O
0.7500 0.7729 0.0506 O
0.2500 0.2271 0.9494 O
0.2500 0.8283 0.4179 O
0.7500 0.5245 0.1714 O
0.7500 0.1717 0.5821 O
0.7500 0.6976 0.6358 Cs
0.2500 0.3024 0.3642 Cs
0.2500 0.0502 0.6548 Na
0.7500 0.9498 0.3452 Na
```

Values from the calculation:
The value obtained for the calculated volume is 265.1 Å³/cell. Its crystal system is monoclinic. Its total moment is 0.00 μB per cell. The value obtained for the formation energy from raw total energies is -2.508 eV per atom. The space group is P2_1/m.

---

Entry 2:
The following is a PBE-GGA calculation of crystalline Ce6SbRu3 at its relaxed geometry, from the Alexandria database.

Geometry as POSCAR:
```
Ce6SbRu3
1.0
6.7667 0.0000 0.0000
0.0000 8.7633 0.0340
0.0000 -1.9224 8.5499
Ce Ru Sb
12 6 2
Direct
0.9722 0.7640 0.2360 Ce
0.2284 0.0075 0.9925 Ce
0.7561 0.4720 0.0966 Ce
0.2230 0.4118 0.2727 Ce
0.7284 0.9925 0.0075 Ce
0.2561 0.0966 0.4720 Ce
0.7561 0.9034 0.5280 Ce
0.2230 0.7273 0.5882 Ce
0.7230 0.2727 0.4118 Ce
0.7230 0.5882 0.7273 Ce
0.4722 0.2360 0.7640 Ce
0.2561 0.5280 0.9034 Ce
0.4734 0.9009 0.7396 Ru
0.9229 0.5650 0.4350 Ru
0.4229 0.4350 0.5650 Ru
0.9734 0.7396 0.9009 Ru
0.4734 0.2604 0.0991 Ru
0.9734 0.0991 0.2604 Ru
0.4570 0.7766 0.2234 Sb
0.9570 0.2234 0.7766 Sb
```

Values from the calculation:
The value obtained for the calculated volume is 507.4 Å³/cell. Its crystal system is orthorhombic. Its total moment is 2.22 μB per cell. The value obtained for the formation energy from raw total energies is -0.372 eV per atom. The space group is Cmc2_1.

---

Entry 3:
The following is a PBE-GGA calculation of crystalline BeFeReW at its relaxed geometry, from the Alexandria database.

Geometry as POSCAR:
```
BeFeReW
1.0
-0.6664 4.1301 -0.1798
-3.4984 1.6290 1.6253
0.1891 2.3052 3.4907
W Be Fe Re
1 1 1 1
Direct
0.0000 0.0000 0.0000 W
0.5000 0.5000 0.5000 Be
0.2500 0.2500 0.2500 Fe
0.7500 0.7500 0.7500 Re
```

Values from the calculation:
The value obtained for the calculated volume is 51.9 Å³/cell. Its crystal system is cubic. The formation energy is 0.33 eV per formula unit. Its total moment is 0.66 μB per cell. The space group is F-43m.

---

Entry 4:
The following is a PBE-GGA calculation of crystalline LaErTmIn at its relaxed geometry, from the Alexandria database.

Geometry as POSCAR:
```
LaErTmIn
1.0
-0.3912 -1.5045 5.2878
-0.0955 -5.3442 1.3448
4.3256 -2.2793 2.5439
Er Tm In La
1 1 1 1
Direct
0.0000 0.0000 0.0000 Er
0.7500 0.7500 0.7500 Tm
0.5000 0.5000 0.5000 In
0.2500 0.2500 0.2500 La
```

Values from the calculation:
The value obtained for the calculated volume is 118.4 Å³/cell. Its crystal system is cubic. The formation energy is -0.57 eV per formula unit. Its total moment is 0.73 μB per cell. The space group is F-43m.

---

Entry 5:
The following is a PBE-GGA calculation of crystalline CoCuSnH6 at its relaxed geometry, from the Alexandria database.

Geometry as POSCAR:
```
CoCuSnH6
1.0
4.5184 -0.3898 0.0330
1.9316 3.7654 0.4962
0.0480 0.5639 4.5439
Co H Sn Cu
1 6 1 1
Direct
0.2984 0.3288 0.4872 Co
0.5481 0.1020 0.2969 H
0.4315 0.5674 0.2569 H
0.9691 0.3537 0.3495 H
0.5448 0.3532 0.7094 H
0.4158 0.9587 0.7146 H
0.0587 0.6163 0.6405 H
0.0574 0.0466 0.0385 Sn
0.6760 0.6733 0.5064 Cu
```

Values from the calculation:
The calculation puts the energy at -3.789 eV/atom. The value obtained for the calculated volume is 79.5 Å³/cell. Its crystal system is triclinic. Its total moment is 0.00 μB per cell. The space group is P1.

---

Entry 6:
The following is a PBE-GGA calculation of crystalline LiErCdIn at its relaxed geometry, from the Alexandria database.

Geometry as POSCAR:
```
LiErCdIn
1.0
5.0532 0.0000 0.0000
2.5266 4.3762 0.0000
2.5266 1.4587 4.1259
Er Cd Li In
1 1 1 1
Direct
0.5000 0.5000 0.5000 Er
0.7500 0.7500 0.7500 Cd
0.0000 0.0000 0.0000 Li
0.2500 0.2500 0.2500 In
```

Values from the calculation:
The value obtained for the calculated volume is 91.2 Å³/cell. Its crystal system is cubic. The formation energy is -1.33 eV per formula unit. Its total moment is 0.00 μB per cell. The space group is F-43m.

---

Entry 7:
The following is a PBE-GGA calculation of crystalline NaHf2ScBe at its relaxed geometry, from the Alexandria database.

Geometry as POSCAR:
```
NaHf2ScBe
1.0
5.0690 0.0000 0.0000
0.0000 4.9348 0.0000
0.0000 0.0000 5.0690
Hf Na Be Sc
2 1 1 1
Direct
0.0000 0.0000 0.5000 Hf
0.5000 0.0000 0.0000 Hf
0.5000 0.5000 0.5000 Na
0.0000 0.5000 0.0000 Be
0.0000 0.0000 0.0000 Sc
```

Values from the calculation:
The value obtained for the calculated volume is 126.8 Å³/cell. Its crystal system is tetragonal. The formation energy is 6.71 eV per formula unit. Its total moment is 0.00 μB per cell. The space group is P4/mmm.

---

Entry 8:
The following is a PBE-GGA calculation of crystalline LaPrNd3Mg at its relaxed geometry, from the Alexandria database.

Geometry as POSCAR:
```
LaPrNd3Mg
1.0
6.1110 0.0000 0.0000
-3.0555 9.7731 3.2167
0.0000 0.2489 7.1399
Pr La Nd Mg
2 2 6 2
Direct
0.6999 0.3998 0.0501 Pr
0.3001 0.6002 0.9499 Pr
0.3266 0.6532 0.4234 La
0.6734 0.3468 0.5766 La
0.4655 0.9311 0.7846 Nd
0.5345 0.0689 0.2154 Nd
0.8574 0.7148 0.6574 Nd
0.1426 0.2852 0.3426 Nd
0.8579 0.7158 0.1271 Nd
0.1421 0.2842 0.8729 Nd
0.9917 0.9834 0.2600 Mg
0.0083 0.0166 0.7400 Mg
```

Values from the calculation:
The value obtained for the calculated volume is 421.5 Å³/cell. Its crystal system is monoclinic. The formation energy is 0.92 eV per formula unit. Its total moment is 0.00 μB per cell. The space group is C2/m.

---

Entry 9:
The following is a PBE-GGA calculation of crystalline CdRe2Ag at its relaxed geometry, from the Alexandria database.

Geometry as POSCAR:
```
CdRe2Ag
1.0
9.7556 -0.0139 -0.0081
9.3457 2.7984 -0.0081
9.3457 1.3624 2.4444
Ag Re Cd
1 2 1
Direct
0.5029 0.5029 0.5029 Ag
0.9931 0.9931 0.9931 Re
0.2556 0.2556 0.2556 Re
0.7484 0.7484 0.7484 Cd
```

Values from the calculation:
The value obtained for the calculated volume is 67.3 Å³/cell. Its crystal system is trigonal. The formation energy is 0.81 eV per formula unit. Its total moment is 0.00 μB per cell. The space group is R3m.

---

Entry 10:
The following is a PBE-GGA calculation of crystalline Ce3Ga3Tc2 at its relaxed geometry, from the Alexandria database.

Geometry as POSCAR:
```
Ce3Ga3Tc2
1.0
-4.5174 0.5805 0.9008
-0.0522 -4.2169 2.4554
4.0502 4.5632 5.4058
Ce Tc Ga
3 2 3
Direct
0.0000 0.0000 0.0000 Ce
0.1635 0.5758 0.3269 Ce
0.8365 0.4242 0.6731 Ce
0.7927 0.9131 0.5854 Tc
0.2073 0.0869 0.4146 Tc
0.5000 0.5000 0.0000 Ga
0.3687 0.9385 0.7375 Ga
0.6313 0.0615 0.2625 Ga
```

Values from the calculation:
The value obtained for the calculated volume is 174.7 Å³/cell. Its crystal system is monoclinic. The formation energy is -3.44 eV per formula unit. Its total moment is 0.29 μB per cell. The space group is C2/m.

---

Entry 11:
The following is a PBE-GGA calculation of crystalline Sr2LiH6Ir at its relaxed geometry, from the Alexandria database.

Geometry as POSCAR:
```
Sr2LiH6Ir
1.0
-1.9109 1.2152 4.4545
-3.2947 -4.2975 -0.2410
4.9143 -0.4745 2.2376
H Ir Sr Li
6 1 2 1
Direct
0.2071 0.3022 0.1511 H
0.7929 0.1511 0.3022 H
0.7929 0.6978 0.8489 H
0.7929 0.1511 0.8489 H
0.2071 0.8489 0.1511 H
0.2071 0.8489 0.6978 H
0.0000 0.0000 0.0000 Ir
0.7821 0.6667 0.3333 Sr
0.2179 0.3333 0.6667 Sr
0.5000 0.0000 0.0000 Li
```

Values from the calculation:
The calculation puts the energy at -3.895 eV/atom. The value obtained for the calculated volume is 127.2 Å³/cell. Its crystal system is trigonal. Its total moment is 0.00 μB per cell. The space group is P-3m1.

---

Entry 12:
The following is a PBE-GGA calculation of crystalline Rb3TbNp2Te6 at its relaxed geometry, from the Alexandria database.

Geometry as POSCAR:
```
Rb3TbNp2Te6
1.0
7.9355 -0.0011 0.0001
-3.9668 6.8729 0.0001
-1.3233 -2.2914 8.5412
Te Np Tb Rb
6 2 1 3
Direct
0.0668 0.3978 0.2004 Te
0.9332 0.6022 0.7996 Te
0.2643 0.2643 0.7996 Te
0.6022 0.9332 0.7996 Te
0.3978 0.0668 0.2004 Te
0.7357 0.7357 0.2004 Te
0.3333 0.6667 0.0000 Np
0.6667 0.3333 0.0000 Np
0.0000 0.0000 0.0000 Tb
0.1669 0.8331 0.5000 Rb
0.8331 0.1669 0.5000 Rb
0.5000 0.5000 0.5000 Rb
```

Values from the calculation:
The value obtained for the calculated volume is 465.8 Å³/cell. Its crystal system is monoclinic. Its total moment is 8.00 μB per cell. The value obtained for the formation energy from raw total energies is -1.045 eV per atom. The space group is C2/m.